(1)
DFT (PBE) results for an optimized crystal structure of CoAsPb.

For the excess energy over the best structure of this formula in the dataset, the calculation gives 0 meV/atom. For the spin magnetization, the calculation gives 0.00 μB/f.u. Its symmetry is P2_13 (198). As for the crystal system: cubic. Its formation energy is 0.71 kJ/mol of atoms.

Lattice parameters (Å, degrees): 6.1773 6.1773 6.1773 90.00 90.00 90.00
Element x y z (fractional)
Co 0.0525 0.0525 0.0525
Co 0.4475 0.9475 0.5525
Co 0.5525 0.4475 0.9475
Co 0.9475 0.5525 0.4475
As 0.1484 0.8516 0.3516
As 0.3516 0.1484 0.8516
As 0.6484 0.6484 0.6484
As 0.8516 0.3516 0.1484
Pb 0.1601 0.6601 0.8399
Pb 0.3399 0.3399 0.3399
Pb 0.6601 0.8399 0.1601
Pb 0.8399 0.1601 0.6601

---

(2)
DFT (PBE) results for an optimized crystal structure of LaTi.

For the excess energy over the best structure of this formula in the dataset, the calculation gives 891 meV/atom. For the spin magnetization, the calculation gives 0.00 μB/f.u. Its symmetry is I-43m (217). As for the crystal system: cubic. Its formation energy is 105.31 kJ/mol of atoms.

Lattice parameters (Å, degrees): 8.8295 8.8295 8.8295 90.00 90.00 90.00
Element x y z (fractional)
La 0.2126 0.2126 0.7874
La 0.2126 0.7874 0.2126
La 0.2874 0.2874 0.2874
La 0.2874 0.7126 0.7126
La 0.7126 0.2874 0.7126
La 0.7126 0.7126 0.2874
La 0.7874 0.2126 0.2126
La 0.7874 0.7874 0.7874
Ti 0.1028 0.1028 0.1028
Ti 0.1028 0.8972 0.8972
Ti 0.3972 0.3972 0.6028
Ti 0.3972 0.6028 0.3972
Ti 0.6028 0.3972 0.3972
Ti 0.6028 0.6028 0.6028
Ti 0.8972 0.1028 0.8972
Ti 0.8972 0.8972 0.1028

---

(3)
DFT (PBE) results for an optimized crystal structure of Y6Er2Tm3Th.

For the spin magnetization, the calculation gives 0.00 μB/f.u. Its symmetry is C2/m (12). As for the crystal system: monoclinic. Its formation energy is 2.99 kJ/mol of atoms.

Lattice parameters (Å, degrees): 6.1383 6.1383 11.7542 94.99 94.99 119.96
Element x y z (fractional)
Y 0.0844 0.4151 0.7503
Y 0.2463 0.2463 0.2497
Y 0.4151 0.0844 0.7503
Y 0.5849 0.9156 0.2497
Y 0.7537 0.7537 0.7503
Y 0.9156 0.5849 0.2497
Er 0.3333 0.6667 0.5000
Er 0.6667 0.3333 0.5000
Tm 0.1674 0.8326 0.0000
Tm 0.5000 0.5000 0.0000
Tm 0.8326 0.1674 0.0000
Th 0.0000 0.0000 0.5000

---

(4)
DFT (PBE) results for an optimized crystal structure of PmThCoPt.

For the excess energy over the best structure of this formula in the dataset, the calculation gives 0 meV/atom. For the spin magnetization, the calculation gives 0.00 μB/f.u. Its symmetry is Amm2 (38). As for the crystal system: orthorhombic. Its formation energy is -68.27 kJ/mol of atoms.

Lattice parameters (Å, degrees): 4.1825 3.8331 11.2484 90.00 90.00 90.00
Element x y z (fractional)
Pm 0.0000 0.0000 0.0000
Pm 0.0000 0.5000 0.5000
Th 0.5000 0.0000 0.7222
Th 0.5000 0.5000 0.2222
Co 0.0000 0.0000 0.2566
Co 0.0000 0.5000 0.7566
Pt 0.5000 0.0000 0.4355
Pt 0.5000 0.5000 0.9355

---

(5)
DFT (PBE) results for an optimized crystal structure of CeCl3.

For the spin magnetization, the calculation gives 1.00 μB/f.u. Its symmetry is P6_3/m (176). As for the raw total energy: -20.37 eV per formula unit. As for the crystal system: hexagonal.

Lattice parameters (Å, degrees): 7.5760 7.5760 4.2741 90.00 90.00 120.00
Element x y z (fractional)
Ce 0.3333 0.6667 0.2500
Ce 0.6667 0.3333 0.7500
Cl 0.0874 0.3914 0.7500
Cl 0.3040 0.9126 0.7500
Cl 0.3914 0.3040 0.2500
Cl 0.6086 0.6960 0.7500
Cl 0.6960 0.0874 0.2500
Cl 0.9126 0.6086 0.2500

---

(6)
DFT (PBE) results for an optimized crystal structure of Tb4CdS2.

For the spin magnetization, the calculation gives 0.00 μB/f.u. Its symmetry is Cmcm (63). As for the raw total energy: -36.42 eV per formula unit. As for the crystal system: orthorhombic.

Lattice parameters (Å, degrees): 6.8087 6.8087 13.7064 90.00 90.00 145.92
Element x y z (fractional)
Tb 0.0000 0.0000 0.0000
Tb 0.0000 0.0000 0.5000
Tb 0.2660 0.7340 0.6156
Tb 0.2660 0.7340 0.8844
Tb 0.4302 0.5698 0.2500
Tb 0.5698 0.4302 0.7500
Tb 0.7340 0.2660 0.1156
Tb 0.7340 0.2660 0.3844
Cd 0.1111 0.8889 0.2500
Cd 0.8889 0.1111 0.7500
S 0.3657 0.6343 0.0587
S 0.3657 0.6343 0.4413
S 0.6343 0.3657 0.5587
S 0.6343 0.3657 0.9413

---

(7)
DFT (PBE) results for an optimized crystal structure of SmGdPd2.

For the excess energy over the best structure of this formula in the dataset, the calculation gives 0 meV/atom. For the spin magnetization, the calculation gives 7.14 μB/f.u. Its symmetry is P4/mmm (123). As for the crystal system: tetragonal. Its formation energy is -78.41 kJ/mol of atoms.

Lattice parameters (Å, degrees): 5.0798 5.0798 3.4952 90.00 90.00 90.00
Element x y z (fractional)
Sm 0.0000 0.0000 0.0000
Gd 0.5000 0.5000 0.0000
Pd 0.0000 0.5000 0.5000
Pd 0.5000 0.0000 0.5000

---

(8)
DFT (PBE) results for an optimized crystal structure of AcTeAs2.

For the excess energy over the best structure of this formula in the dataset, the calculation gives 0 meV/atom. For the spin magnetization, the calculation gives 0.00 μB/f.u. Its symmetry is P4/mmm (123). As for the crystal system: tetragonal.

Lattice parameters (Å, degrees): 4.8148 4.8148 4.5265 90.00 90.00 90.00
Element x y z (fractional)
Ac 0.0000 0.0000 0.0000
Te 0.5000 0.5000 0.0000
As 0.0000 0.5000 0.5000
As 0.5000 0.0000 0.5000